[1]
This record from Alexandria via LeMat-Bulk describes PmNd4Er3 after structural relaxation. The functional is GGA-PBE.

The structure in POSCAR format:
```
PmNd4Er3
1.0
10.2309 0.0000 0.0000
0.0000 7.2121 0.0000
0.0000 0.0000 7.2104
Pm Nd Er
2 8 6
direct
0.0000 0.0000 0.0000
0.5000 0.0000 0.5000
0.0000 0.0000 0.5000
0.0000 0.5000 0.0000
0.2500 0.2518 0.2500
0.2500 0.7482 0.7500
0.5000 0.0000 0.0000
0.5000 0.5000 0.5000
0.7500 0.2518 0.2500
0.7500 0.7482 0.7500
0.0000 0.5000 0.5000
0.2500 0.2519 0.7500
0.2500 0.7481 0.2500
0.5000 0.5000 0.0000
0.7500 0.2519 0.7500
0.7500 0.7481 0.2500
```

Results
polymorph energy (0 for the lowest one): 0.0 kJ/mol of formula units
size of the total moment: 0.00 Bohr magnetons per cell
crystal system: orthorhombic
ΔH_f (0 K): 0.02 eV per atom
calculated density: 7639 kg/m³



[2]
This record from Alexandria via LeMat-Bulk describes Pm8NdEr5 after structural relaxation. The functional is GGA-PBE.

The structure in POSCAR format:
```
Pm8NdEr5
1.0
-4.8004 4.8004 5.1777
4.8004 -4.8004 5.1777
4.8004 4.8004 -5.1777
Pm Nd Er
8 1 5
direct
0.0735 0.3294 0.6046
0.1637 0.4294 0.0882
0.3412 0.0755 0.9118
0.5312 0.9265 0.2560
0.5706 0.6588 0.7343
0.6706 0.2752 0.7440
0.7248 0.4688 0.3954
0.9245 0.8363 0.2657
0.2500 0.7500 0.5000
0.0382 0.7232 0.9058
0.2768 0.1827 0.3150
0.5000 0.5000 0.0000
0.8173 0.1323 0.0942
0.8677 0.9618 0.6850
```

Results
size of the total moment: 0.00 Bohr magnetons per cell
crystal system: tetragonal
ΔH_f (0 K): 0.24 eV per atom
calculated density: 7448 kg/m³



[3]
This record from Alexandria via LeMat-Bulk describes PmNd4Er after structural relaxation. The functional is GGA-PBE.

The structure in POSCAR format:
```
PmNd4Er
1.0
2.5842 -7.7401 0.0000
2.5842 7.7401 0.0000
0.0000 0.0000 5.1550
Pm Nd Er
1 4 1
direct
0.0000 0.0000 0.0000
0.1657 0.8343 0.5000
0.3349 0.6651 0.0000
0.6651 0.3349 0.0000
0.8343 0.1657 0.5000
0.5000 0.5000 0.5000
```

Results
polymorph energy (0 for the lowest one): 0.0 kJ/mol of formula units
size of the total moment: 0.00 Bohr magnetons per cell
crystal system: orthorhombic
ΔH_f (0 K): 0.02 eV per atom
calculated density: 7160 kg/m³



[4]
This record from Alexandria via LeMat-Bulk describes PmNd3Er2 after structural relaxation. The functional is GGA-PBE.

The structure in POSCAR format:
```
PmNd3Er2
1.0
4.5550 -4.9652 0.0000
4.5550 4.9652 0.0000
-1.9927 0.0000 8.8542
Pm Nd Er
2 6 4
direct
0.1065 0.8935 0.7500
0.8935 0.1065 0.2500
0.1471 0.3145 0.9834
0.3145 0.1471 0.4834
0.4373 0.5627 0.7500
0.5627 0.4373 0.2500
0.6855 0.8529 0.5166
0.8529 0.6855 0.0166
0.1213 0.6226 0.3781
0.3774 0.8787 0.1219
0.6226 0.1213 0.8781
0.8787 0.3774 0.6219
```

Results
polymorph energy (0 for the lowest one): 0.0 kJ/mol of formula units
size of the total moment: 0.00 Bohr magnetons per cell
crystal system: monoclinic
ΔH_f (0 K): 0.06 eV per atom
calculated density: 7565 kg/m³



[5]
This record from Alexandria via LeMat-Bulk describes Pm2Nd6Er after structural relaxation. The functional is GGA-PBE.

The structure in POSCAR format:
```
Pm2Nd6Er
1.0
4.7589 -8.9658 0.0000
4.7589 8.9658 0.0000
0.0000 0.0000 3.6698
Pm Nd Er
2 6 1
direct
0.1759 0.8241 0.0000
0.8241 0.1759 0.0000
0.1607 0.4893 0.5000
0.3152 0.3152 0.0000
0.4893 0.1607 0.5000
0.5107 0.8393 0.5000
0.6848 0.6848 0.0000
0.8393 0.5107 0.5000
0.0000 0.0000 0.5000
```

Results
polymorph energy (0 for the lowest one): 43.0 kJ/mol of formula units
size of the total moment: 0.00 Bohr magnetons per cell
crystal system: orthorhombic
ΔH_f (0 K): 0.13 eV per atom
calculated density: 7014 kg/m³



[6]
This record from Alexandria via LeMat-Bulk describes PmNd7Er4 after structural relaxation. The functional is GGA-PBE.

The structure in POSCAR format:
```
PmNd7Er4
1.0
6.3310 0.0000 0.0000
0.0036 7.3013 0.0000
2.1094 0.0015 8.7424
Pm Nd Er
1 7 4
direct
0.0000 0.0000 0.0000
0.0000 0.5000 0.0000
0.2226 0.0003 0.3347
0.2812 0.2514 0.6637
0.5000 0.2539 0.0023
0.5000 0.7461 0.9977
0.7188 0.7486 0.3363
0.7774 0.9997 0.6653
0.2188 0.5003 0.3358
0.2772 0.7455 0.6662
0.7228 0.2545 0.3338
0.7812 0.4997 0.6642
```

Results
polymorph energy (0 for the lowest one): 0.0 kJ/mol of formula units
size of the total moment: 0.00 Bohr magnetons per cell
crystal system: triclinic
ΔH_f (0 K): 0.01 eV per atom
calculated density: 7494 kg/m³